# Sr2CeMgS5 PBE optimized geometry
# space-group type: Cmc2_1 (36)
# magnetic moment: 0.000 μB per formula unit
# energy relative to the elements, uncorrected: -1.837 eV/atom
data_Sr2CeMgS5
_chemical_formula_sum 'Sr4 Ce2 Mg2 S10'
_cell_length_a 8.7827
_cell_length_b 8.7827
_cell_length_c 12.6179
_cell_angle_alpha 90.00
_cell_angle_beta 90.00
_cell_angle_gamma 152.71
_symmetry_space_group_name_H-M 'P 1'
_symmetry_Int_Tables_number 1
loop_
_symmetry_equiv_pos_as_xyz
'x,y,z'
loop_
_atom_site_label
_atom_site_type_symbol
_atom_site_fract_x
_atom_site_fract_y
_atom_site_fract_z
_atom_site_occupancy
Sr1 Sr 0.1021 0.8979 0.5000 1
Sr2 Sr 0.1265 0.8735 0.1179 1
Sr3 Sr 0.8735 0.1265 0.6179 1
Sr4 Sr 0.8979 0.1021 0.0000 1
Ce1 Ce 0.2144 0.7856 0.8283 1
Ce2 Ce 0.7856 0.2144 0.3283 1
Mg1 Mg 0.4733 0.5267 0.2769 1
Mg2 Mg 0.5267 0.4733 0.7769 1
S1 S 0.0584 0.9416 0.8700 1
S2 S 0.2806 0.7194 0.4732 1
S3 S 0.3062 0.6938 0.1899 1
S4 S 0.3725 0.6275 0.8161 1
S5 S 0.4971 0.5029 0.5909 1
S6 S 0.5029 0.4971 0.0909 1
S7 S 0.6275 0.3725 0.3161 1
S8 S 0.6938 0.3062 0.6899 1
S9 S 0.7194 0.2806 0.9732 1
S10 S 0.9416 0.0584 0.3700 1